# 1
This record from Alexandria describes crystalline Sm8CSe6 at its relaxed geometry. The functional is PBE.

Summary:
space-group type = P-31m, No. 162
V = 382 Å³ per cell
energy relative to the elements, uncorrected = -1967 kJ/mol of formula units
DOS(E_F) = 0.276 states/eV per atom

abc: 8.6119 8.6119 5.9543
angles: 90.00 90.00 120.00
Last column: nearest neighbours and their distance in Å.
Fractional coordinates of all 15 atoms:
Sm 0.0000 0.2441 0.2444  1 C 2.56
Sm 0.0000 0.7559 0.7556  1 C 2.56
Sm 0.2441 0.0000 0.2444  1 C 2.56
Sm 0.2441 0.2441 0.7556  1 C 2.56
Sm 0.3333 0.6667 0.0000  6 Se 3.04
Sm 0.6667 0.3333 0.0000  6 Se 3.04
Sm 0.7559 0.0000 0.7556  1 C 2.56
Sm 0.7559 0.7559 0.2444  1 C 2.56
C 0.0000 0.0000 0.0000  6 Sm 2.56
Se 0.0000 0.3908 0.7538  7 Sm 2.94-3.29
Se 0.0000 0.6092 0.2462  7 Sm 2.94-3.29
Se 0.3908 0.0000 0.7538  7 Sm 2.94-3.29
Se 0.3908 0.3908 0.2462  7 Sm 2.94-3.29
Se 0.6092 0.0000 0.2462  7 Sm 2.94-3.29
Se 0.6092 0.6092 0.7538  7 Sm 2.94-3.29



# 2
This record from Alexandria describes crystalline Sm3CSe at its relaxed geometry. The functional is PBE.

Summary:
space-group type = Pnma, No. 62
V = 517 Å³ per cell
energy relative to the elements, uncorrected = -256 kJ/mol of formula units
DOS(E_F) = 0.805 states/eV per atom

abc: 5.3228 11.9673 8.1220
angles: 90.00 90.00 90.00
Last column: nearest neighbours and their distance in Å.
Fractional coordinates of all 20 atoms:
Sm 0.0005 0.1138 0.1142  1 C 2.32
Sm 0.0005 0.3862 0.1142  1 C 2.32
Sm 0.9995 0.6138 0.8858  1 C 2.32
Sm 0.9995 0.8862 0.8858  1 C 2.32
Sm 0.0005 0.2500 0.6118  3 C 2.43-2.67
Sm 0.4995 0.7500 0.1118  3 C 2.43-2.67
Sm 0.5005 0.1138 0.3858  1 C 2.32
Sm 0.5005 0.3862 0.3858  1 C 2.32
Sm 0.4995 0.6138 0.6142  1 C 2.32
Sm 0.4995 0.8862 0.6142  1 C 2.32
Sm 0.5005 0.2500 0.8882  3 C 2.43-2.67
Sm 0.9995 0.7500 0.3882  3 C 2.43-2.67
C 0.0005 0.2500 0.9109  3 Sm 2.32-2.43
C 0.4995 0.7500 0.4109  3 Sm 2.32-2.43
C 0.5005 0.2500 0.5891  3 Sm 2.32-2.43
C 0.9995 0.7500 0.0891  3 Sm 2.32-2.43
Se 0.0000 0.0000 0.5000  8 Sm 3.13-3.42
Se 0.0000 0.5000 0.5000  8 Sm 3.13-3.42
Se 0.5000 0.0000 0.0000  8 Sm 3.13-3.42
Se 0.5000 0.5000 0.0000  8 Sm 3.13-3.42



# 3
This record from Alexandria describes crystalline Sm5CSe4 at its relaxed geometry. The functional is PBE.

Summary:
space-group type = I4/mmm, No. 139
V = 245 Å³ per cell
energy relative to the elements, uncorrected = -1430 kJ/mol of formula units
DOS(E_F) = 0.384 states/eV per atom

abc: 14.9461 14.9461 14.9461
angles: 164.28 164.28 22.30
Last column: nearest neighbours and their distance in Å.
Fractional coordinates of all 10 atoms:
Sm 0.0000 0.0000 0.0000  4 C 2.89, 2 Se 2.95
Sm 0.2049 0.2049 0.0000  6 Se 2.91-3.06
Sm 0.4170 0.4170 0.0000  1 C 2.43
Sm 0.5830 0.5830 0.0000  1 C 2.43
Sm 0.7951 0.7951 0.0000  6 Se 2.91-3.06
C 0.5000 0.5000 0.0000  2 Sm 2.43
Se 0.1004 0.1004 0.0000  6 Sm 2.94-3.06
Se 0.3067 0.3067 0.0000  6 Sm 2.91-3.24
Se 0.6933 0.6933 0.0000  6 Sm 2.91-3.24
Se 0.8996 0.8996 0.0000  6 Sm 2.94-3.06



# 4
This record from Alexandria describes crystalline Sm5CSe5 at its relaxed geometry. The functional is PBE.

Summary:
space-group type = C2/m, No. 12
V = 291 Å³ per cell
energy relative to the elements, uncorrected = -1665 kJ/mol of formula units
DOS(E_F) = 0.264 states/eV per atom

abc: 7.1352 7.1352 8.1234
angles: 107.07 107.07 47.94
Last column: nearest neighbours and their distance in Å.
Fractional coordinates of all 11 atoms:
Sm 0.0000 0.0000 0.0000  2 C 2.90, 4 Se 2.92
Sm 0.3489 0.3489 0.6927  1 C 2.64, 4 Se 2.88-2.94
Sm 0.3522 0.3522 0.1551  1 C 2.62, 3 Se 2.85-2.91
Sm 0.6478 0.6478 0.8449  1 C 2.62, 3 Se 2.85-2.91
Sm 0.6511 0.6511 0.3073  1 C 2.64, 4 Se 2.88-2.94
C 0.5000 0.5000 0.0000  6 Sm 2.62-2.90
Se 0.1656 0.1656 0.8294  5 Sm 2.91-2.96
Se 0.1760 0.1760 0.3317  5 Sm 2.92-3.08
Se 0.5000 0.5000 0.5000  4 Sm 2.85-2.88
Se 0.8240 0.8240 0.6683  5 Sm 2.92-3.08
Se 0.8344 0.8344 0.1706  5 Sm 2.91-2.96



# 5
This record from Alexandria describes crystalline Sm2CSe at its relaxed geometry. The functional is PBE.

Summary:
space-group type = R-3m, No. 166
V = 88 Å³ per cell
energy relative to the elements, uncorrected = -410 kJ/mol of formula units
DOS(E_F) = 0.130 states/eV per atom

abc: 7.1161 7.1161 7.1161
angles: 31.58 31.58 31.58
Last column: nearest neighbours and their distance in Å.
Fractional coordinates of all 4 atoms:
Sm 0.2353 0.2353 0.2353  3 C 2.63
Sm 0.7647 0.7647 0.7647  3 C 2.63
C 0.5000 0.5000 0.5000  6 Sm 2.63
Se 0.0000 0.0000 0.0000  6 Sm 2.99



# 6
This record from Alexandria describes crystalline Sm3CSe at its relaxed geometry. The functional is PBE.

Summary:
space-group type = C2/c, No. 15
V = 505 Å³ per cell
energy relative to the elements, uncorrected = -316 kJ/mol of formula units
DOS(E_F) = 0.733 states/eV per atom

abc: 9.0730 9.0730 6.4726
angles: 102.79 102.79 91.68
Last column: nearest neighbours and their distance in Å.
Fractional coordinates of all 20 atoms:
Sm 0.0664 0.7816 0.9513  2 C 2.53-2.60
Sm 0.1406 0.5596 0.4018  2 C 2.41-2.44
Sm 0.2184 0.9336 0.5487  2 C 2.53-2.60
Sm 0.2942 0.4957 0.9354  2 C 2.55-2.62
Sm 0.4404 0.8594 0.0982  2 C 2.41-2.44
Sm 0.4957 0.2942 0.4354  2 C 2.55-2.62
Sm 0.5043 0.7058 0.5646  2 C 2.55-2.62
Sm 0.5596 0.1406 0.9018  2 C 2.41-2.44
Sm 0.7058 0.5043 0.0646  2 C 2.55-2.62
Sm 0.7816 0.0664 0.4513  2 C 2.53-2.60
Sm 0.8594 0.4404 0.5982  2 C 2.41-2.44
Sm 0.9336 0.2184 0.0487  2 C 2.53-2.60
C 0.2736 0.7264 0.2500  6 Sm 2.41-2.62
C 0.2830 0.7170 0.7500  6 Sm 2.44-2.60
C 0.7170 0.2830 0.2500  6 Sm 2.44-2.60
C 0.7264 0.2736 0.7500  6 Sm 2.41-2.62
Se 0.1064 0.2492 0.5287  6 Sm 2.93-3.22
Se 0.2492 0.1064 0.0287  6 Sm 2.93-3.22
Se 0.7508 0.8936 0.9713  6 Sm 2.93-3.22
Se 0.8936 0.7508 0.4713  6 Sm 2.93-3.22



# 7
This record from Alexandria describes crystalline TbSmCSe at its relaxed geometry. The functional is PBE.

Summary:
space-group type = R3m, No. 160
V = 85 Å³ per cell
energy relative to the elements, uncorrected = -407 kJ/mol of formula units
DOS(E_F) = 0.025 states/eV per atom

abc: 7.1823 7.1823 7.1823
angles: 30.63 30.63 30.63
Last column: nearest neighbours and their distance in Å.
Fractional coordinates of all 4 atoms:
Tb 0.0000 0.0000 0.0000  3 C 2.57
Sm 0.8008 0.8008 0.8008  3 C 2.60
C 0.3989 0.3989 0.3989  3 Tb 2.57, 3 Sm 2.60
Se 0.5702 0.5702 0.5702  3 Tb 2.95, 3 Sm 3.04



# 8
This record from Alexandria describes crystalline Sm6TeC2Se3 at its relaxed geometry. The functional is PBE.

Summary:
space-group type = C2/m, No. 12
V = 292 Å³ per cell
energy relative to the elements, uncorrected = -1432 kJ/mol of formula units
DOS(E_F) = 0.324 states/eV per atom

abc: 9.1877 9.1877 8.3557
angles: 102.81 102.81 25.11
Last column: nearest neighbours and their distance in Å.
Fractional coordinates of all 12 atoms:
Sm 0.0286 0.0286 0.2797  1 C 2.50
Sm 0.3214 0.3214 0.4362  3 C 2.62-2.72
Sm 0.3221 0.3221 0.8663  2 C 2.65, 1 Se 2.88
Sm 0.6779 0.6779 0.1337  2 C 2.65, 1 Se 2.88
Sm 0.6786 0.6786 0.5638  3 C 2.62-2.72
Sm 0.9714 0.9714 0.7203  1 C 2.50
Te 0.5000 0.5000 0.0000  6 Sm 3.03-3.13
C 0.1718 0.1718 0.3393  6 Sm 2.50-2.72
C 0.8282 0.8282 0.6607  6 Sm 2.50-2.72
Se 0.1591 0.1591 0.8349  5 Sm 2.88-3.15
Se 0.5000 0.5000 0.5000  6 Sm 2.84-3.13
Se 0.8409 0.8409 0.1651  5 Sm 2.88-3.15